Mg2RePt | GGA-PBE | relaxed

## Properties
As for the space-group type: P4mm. The energy of formation is -0.3 eV per formula unit. Its calculated total energy is -5.5052 eV/atom. The offset from the most stable computed form comes out at 81 meV/atom. As for the calculated volume: 68.6 Å³/f.u. Its density of states at the Fermi level is 2.51 states/eV/cell.

a b c (Å): 2.806 2.806 8.709
angles (deg): 90.00 90.00 90.00
Positions (direct):
Re1 0.500 0.500 0.731
Mg1 0.500 0.500 0.283
Mg2 0.000 0.000 0.973
Pt1 0.000 0.000 0.513


MgRePt2 | GGA-PBE | relaxed

## Properties
As for the space-group type: P4mm. The energy of formation is -0.7 eV per formula unit. Its calculated total energy is -6.7178 eV/atom. As for the calculated volume: 62.8 Å³/f.u. Its density of states at the Fermi level is 1.44 states/eV/cell.

a b c (Å): 2.787 2.787 8.087
angles (deg): 90.00 90.00 89.99
Positions (direct):
Re1 0.000 0.000 0.487
Mg1 0.500 0.500 0.756
Pt1 0.500 0.500 0.259
Pt2 0.000 0.000 0.997